1.
Ho3Sc2Tl2 | PBE | relaxed

Unit cell a=3.5725 b=4.9978 c=11.1546 alpha=102.95 beta=99.21 gamma=90.00
Closest atoms and distances in Å follow each position.
Fractional coordinates of all 7 atoms:
Ho  0.0000  0.0000  0.0000  8 Sc 3.42, 2 Ho 3.57, 4 Tl 3.60
Ho  0.2020  0.7020  0.4040  5 Tl 3.26-3.30, 2 Sc 3.35, 2 Ho 3.57
Ho  0.7980  0.2980  0.5960  5 Tl 3.26-3.30, 2 Sc 3.35, 2 Ho 3.57
Sc  0.5696  0.5696  0.1392  1 Sc 2.99, 2 Tl 2.99
Sc  0.4304  0.4304  0.8608  1 Sc 2.99, 2 Tl 2.99
Tl  0.6458  0.1458  0.2916  2 Sc 2.99, 5 Ho 3.26-3.30
Tl  0.3542  0.8542  0.7084  2 Sc 2.99, 5 Ho 3.26-3.30

* DOS(E_F): 1.2694 states/eV/atom
* energy: -4.591 eV/atom
* relative energy among the computed polymorphs: 15.6 meV per atom

***

2.
Ho2Sc4Tl | PBE | relaxed

Unit cell a=5.3487 b=5.9604 c=7.1467 alpha=114.65 beta=90.00 gamma=90.00
Closest atoms and distances in Å follow each position.
Fractional coordinates of all 7 atoms:
Ho  0.5000  0.1297  0.2594  5 Sc 2.98-3.22
Ho  0.5000  0.8703  0.7406  5 Sc 2.98-3.22
Sc  0.5000  0.6253  0.2506  3 Ho 2.98-3.18, 3 Sc 3.01-3.26, 2 Tl 3.13
Sc  0.0000  0.7322  0.4645  4 Sc 3.01-3.02, 1 Tl 3.02, 2 Ho 3.22
Sc  0.5000  0.3747  0.7494  3 Ho 2.98-3.18, 3 Sc 3.01-3.26, 2 Tl 3.13
Sc  0.0000  0.2678  0.5355  4 Sc 3.01-3.02, 1 Tl 3.02, 2 Ho 3.22
Tl  0.0000  0.5000  0.0000  6 Sc 3.02-3.13

* DOS(E_F): 1.7746 states/eV/atom
* energy: -4.754 eV/atom

***

3.
Ho8ScTl6 | PBE | relaxed

Unit cell a=8.9917 b=8.9917 c=8.2943 alpha=57.18 beta=57.18 gamma=60.00
Closest atoms and distances in Å follow each position.
Fractional coordinates of all 15 atoms:
Ho  0.5570  0.2250  0.3265  5 Tl 3.10-3.35
Ho  0.7750  0.1085  0.6735  5 Tl 3.10-3.35
Ho  0.1085  0.4430  0.6735  5 Tl 3.10-3.35
Ho  0.6661  0.6661  0.0017  6 Tl 3.26-3.27
Ho  0.3339  0.3339  0.9983  6 Tl 3.26-3.27
Ho  0.8915  0.5570  0.3265  5 Tl 3.10-3.35
Ho  0.2250  0.8915  0.3265  5 Tl 3.10-3.35
Ho  0.4430  0.7750  0.6735  5 Tl 3.10-3.35
Sc  0.0000  0.0000  0.0000  6 Tl 3.19
Tl  0.3912  0.0633  0.8090  7 Ho 3.10-3.35, 1 Sc 3.19
Tl  0.9367  0.2636  0.1910  7 Ho 3.10-3.35, 1 Sc 3.19
Tl  0.2636  0.6088  0.1910  7 Ho 3.10-3.35, 1 Sc 3.19
Tl  0.7364  0.3912  0.8090  7 Ho 3.10-3.35, 1 Sc 3.19
Tl  0.0633  0.7364  0.8090  7 Ho 3.10-3.35, 1 Sc 3.19
Tl  0.6088  0.9367  0.1910  7 Ho 3.10-3.35, 1 Sc 3.19

* DOS(E_F): 1.3499 states/eV/atom
* energy: -3.924 eV/atom

***

4.
Ho2Sc3Tl2 | PBE | relaxed

Unit cell a=5.1799 b=5.1768 c=8.3162 alpha=108.17 beta=90.00 gamma=120.02
Closest atoms and distances in Å follow each position.
Fractional coordinates of all 7 atoms:
Ho  0.9264  0.8528  0.2795  4 Tl 3.15-3.35, 3 Sc 3.30, 1 Ho 3.42
Ho  0.0736  0.1472  0.7205  4 Tl 3.15-3.35, 3 Sc 3.30, 1 Ho 3.42
Sc  0.5000  0.0000  0.0000  6 Tl 3.22, 2 Sc 3.56
Sc  0.6532  0.3063  0.4592  1 Tl 3.01, 3 Sc 3.06, 3 Ho 3.30
Sc  0.3468  0.6937  0.5408  1 Tl 3.01, 3 Sc 3.06, 3 Ho 3.30
Tl  0.7824  0.5647  0.8473  4 Sc 3.01-3.22, 4 Ho 3.15-3.35
Tl  0.2176  0.4353  0.1527  4 Sc 3.01-3.22, 4 Ho 3.15-3.35

* DOS(E_F): 1.0219 states/eV/atom
* energy: -4.890 eV/atom